Below is a relaxed Er12TlNi6 crystal, with properties calculated at the PBE level.

Lattice parameters (Å, degrees): 8.3231 8.3231 8.3231 109.47 109.47 109.47
With the nearest neighbours (Å) after each atom.
Positions (direct):
Er 0.3026 0.1149 0.8123  3 Ni 2.62-2.87
Er 0.3026 0.4903 0.1877  3 Ni 2.62-2.87
Er 0.6974 0.5097 0.8123  3 Ni 2.62-2.87
Er 0.6974 0.8851 0.1877  3 Ni 2.62-2.87
Er 0.1149 0.8123 0.3026  3 Ni 2.62-2.87
Er 0.4903 0.1877 0.3026  3 Ni 2.62-2.87
Er 0.5097 0.8123 0.6974  3 Ni 2.62-2.87
Er 0.8851 0.1877 0.6974  3 Ni 2.62-2.87
Er 0.8123 0.3026 0.1149  3 Ni 2.62-2.87
Er 0.1877 0.3026 0.4903  3 Ni 2.62-2.87
Er 0.8123 0.6974 0.5097  3 Ni 2.62-2.87
Er 0.1877 0.6974 0.8851  3 Ni 2.62-2.87
Tl 0.0000 0.0000 0.0000  12 Er 3.42
Ni 0.3764 0.5000 0.8764  1 Ni 2.38, 2 Er 2.62
Ni 0.6236 0.5000 0.1236  1 Ni 2.38, 2 Er 2.62
Ni 0.5000 0.8764 0.3764  1 Ni 2.38, 2 Er 2.62
Ni 0.5000 0.1236 0.6236  1 Ni 2.38, 2 Er 2.62
Ni 0.8764 0.3764 0.5000  1 Ni 2.38, 2 Er 2.62
Ni 0.1236 0.6236 0.5000  1 Ni 2.38, 2 Er 2.62

- density of states at the Fermi level (states/eV per cell) = 21.0
- space-group type = No. 204
- formation energy (meV/atom) = -374
- total DFT energy (no corrections) (eV per cell) = -98.91